1.
# LaThPd

An optimized crystal structure of LaThPd (PBE, Alexandria).

Properties
SG: I4/mmm
Energy of formation: -0.4021 eV/atom
Energy above the most stable polymorph in this dataset: 0.048 eV/atom
Crystal system: tetragonal

Lattice parameters (Å, degrees): 4.719 4.719 8.503 106.11 106.11 90.00
Positions (direct):
Th1 0.000 0.500 0.000
La1 0.688 0.688 0.377
La2 0.312 0.312 0.623
Pd1 0.132 0.132 0.264
Th2 0.500 0.000 0.000
Pd2 0.868 0.868 0.736

---

2.
# In6Hg3Ir

An optimized crystal structure of In6Hg3Ir (PBE, Alexandria).

Properties
SG: Pnnm
Energy of formation: -0.0199 eV/atom
Crystal system: orthorhombic

Lattice parameters (Å, degrees): 4.712 9.224 11.633 90.00 90.00 90.00
Positions (direct):
Hg1 0.500 0.999 0.667
Hg2 0.000 0.000 0.500
Hg3 0.000 0.499 0.833
In1 0.500 0.324 0.691
In2 0.500 0.326 0.308
Hg4 0.500 0.001 0.333
Hg5 0.000 0.501 0.167
Ir1 0.000 0.000 0.000
In3 0.500 0.676 0.309
In4 0.000 0.174 0.808
Ir2 0.500 0.500 0.500
In5 0.500 0.827 0.001
In6 0.000 0.673 0.501
In7 0.000 0.327 0.499
In8 0.500 0.674 0.692
In9 0.000 0.824 0.809
Hg6 0.500 0.500 0.000
In10 0.000 0.826 0.192
In11 0.000 0.176 0.191
In12 0.500 0.173 0.999

---

3.
# CsK2AlF6

An optimized crystal structure of CsK2AlF6 (PBE, Alexandria).

Properties
SG: Fm-3m
Crystal system: cubic
Formation energy from raw total energies: -3.078 eV/atom

Lattice parameters (Å, degrees): 6.505 6.505 6.505 60.00 60.00 60.00
Positions (direct):
F1 0.800 0.200 0.800
F2 0.200 0.800 0.200
Cs1 0.500 0.500 0.500
F3 0.800 0.200 0.200
F4 0.200 0.800 0.800
Al1 0.000 0.000 0.000
K1 0.750 0.750 0.750
F5 0.200 0.200 0.800
K2 0.250 0.250 0.250
F6 0.800 0.800 0.200

---

Number 1: total DFT energy (no corrections) -6.249 eV per atom, total magnetization 0.000 μB/f.u., D(E_F) 3.73 states/eV/f.u.. Number 2: total DFT energy (no corrections) -2.640 eV per atom, total magnetization 0.000 μB/f.u., D(E_F) 2.62 states/eV/f.u.. Number 3: total DFT energy (no corrections) -4.880 eV per atom, total magnetization 0.012 μB/f.u., D(E_F) 0.00 states/eV/f.u..